Material: Be2Fe2Si
Method: DFT, PBE
State: optimized geometry

Results
Distance to the lowest polymorph of the same formula   159 meV/atom
Calculated volume   9.71 Å³/atom
Symmetry   C2/m, No. 12
ΔE_f (raw)   -113 meV/atom
Density of states at the Fermi level   3.75 states/eV/cell

abc: 3.833 3.833 4.279
angles: 113.72 113.72 60.84
Positions (direct):
Be 0.088 0.088 0.273
Be 0.912 0.912 0.727
Fe 0.296 0.296 0.880
Fe 0.704 0.704 0.120
Si 0.500 0.500 0.500